# 1
# Hf4CuPC2 (PBE-GGA, relaxed)
data_Hf4CuPC2
_chemical_formula_sum 'Hf4 Cu1 P1 C2'
_space_group_name_H-M_alt 'P -6 m 2'
_space_group_IT_number 187
_space_group_name_Hall 'P -6 2'
_cell_length_a 3.3497
_cell_length_b 3.3497
_cell_length_c 12.6365
_cell_angle_alpha 90.00
_cell_angle_beta 90.00
_cell_angle_gamma 120.00
loop_
_atom_site_label
_atom_site_type_symbol
_atom_site_fract_x
_atom_site_fract_y
_atom_site_fract_z
Hf1 Hf 0.0000 0.0000 0.1410
Hf2 Hf 0.3333 0.6667 0.3421
Cu1 Cu 0.0000 0.0000 0.5000
P1 P 0.3333 0.6667 0.0000
C1 C 0.6667 0.3333 0.2412
# Calculated total energy = -73.6 eV per cell
# Mass density = 11258 kg/m3


# 2
# Hf4CuPbC2 (PBE-GGA, relaxed)
data_Hf4CuPbC2
_chemical_formula_sum 'Hf4 Cu1 Pb1 C2'
_space_group_name_H-M_alt 'P -6 m 2'
_space_group_IT_number 187
_space_group_name_Hall 'P -6 2'
_cell_length_a 3.3167
_cell_length_b 3.3167
_cell_length_c 14.1365
_cell_angle_alpha 90.00
_cell_angle_beta 90.00
_cell_angle_gamma 120.00
loop_
_atom_site_label
_atom_site_type_symbol
_atom_site_fract_x
_atom_site_fract_y
_atom_site_fract_z
Hf1 Hf 0.0000 0.0000 0.1466
Hf2 Hf 0.6667 0.3333 0.3233
Cu1 Cu 0.6667 0.3333 0.0000
Pb1 Pb 0.0000 0.0000 0.5000
C1 C 0.3333 0.6667 0.2381
# Calculated total energy = -70.0 eV per cell
# Mass density = 12438 kg/m3


# 3
# Hf4CuSbC2 (PBE-GGA, relaxed)
data_Hf4CuSbC2
_chemical_formula_sum 'Hf4 Cu1 Sb1 C2'
_space_group_name_H-M_alt 'P -6 m 2'
_space_group_IT_number 187
_space_group_name_Hall 'P -6 2'
_cell_length_a 3.3231
_cell_length_b 3.3231
_cell_length_c 13.7711
_cell_angle_alpha 90.00
_cell_angle_beta 90.00
_cell_angle_gamma 120.00
loop_
_atom_site_label
_atom_site_type_symbol
_atom_site_fract_x
_atom_site_fract_y
_atom_site_fract_z
Hf1 Hf 0.0000 0.0000 0.1496
Hf2 Hf 0.6667 0.3333 0.3314
Cu1 Cu 0.6667 0.3333 0.0000
Sb1 Sb 0.0000 0.0000 0.5000
C1 C 0.3333 0.6667 0.2424
# Calculated total energy = -70.8 eV per cell
# Mass density = 11641 kg/m3


# 4
# Hf2Sc4Cu3C3 (PBE-GGA, relaxed)
data_Hf2Sc4Cu3C3
_chemical_formula_sum 'Hf8 Sc16 Cu12 C12'
_space_group_name_H-M_alt 'C 1 2/c 1'
_space_group_IT_number 15
_cell_length_a 9.8021
_cell_length_b 5.6651
_cell_length_c 14.0344
_cell_angle_alpha 90.00
_cell_angle_beta 102.15
_cell_angle_gamma 90.00
loop_
_space_group_symop_operation_xyz
'x,y,z'
'-x,-y,-z'
'-x,y,-z+1/2'
'x,-y,z+1/2'
'x+1/2,y+1/2,z'
'-x+1/2,-y+1/2,-z'
'-x+1/2,y+1/2,-z+1/2'
'x+1/2,-y+1/2,z+1/2'
loop_
_atom_site_label
_atom_site_type_symbol
_atom_site_fract_x
_atom_site_fract_y
_atom_site_fract_z
Hf1 Hf 0.0584 0.0861 0.4053
Sc1 Sc 0.1103 0.4223 0.5886
Sc2 Sc 0.2196 0.4136 0.9113
Cu1 Cu 0.0000 0.4382 0.7500
Cu2 Cu 0.2406 0.1581 0.7505
C1 C 0.0773 0.2322 0.0003
C2 C 0.2500 0.2500 0.5000
# Calculated total energy = -351.7 eV per cell
# Mass density = 6656 kg/m3


# 5
# Hf4CuSiC2 (PBE-GGA, relaxed)
data_Hf4CuSiC2
_chemical_formula_sum 'Hf4 Cu1 Si1 C2'
_space_group_name_H-M_alt 'P -6 m 2'
_space_group_IT_number 187
_space_group_name_Hall 'P -6 2'
_cell_length_a 3.2628
_cell_length_b 3.2628
_cell_length_c 13.4772
_cell_angle_alpha 90.00
_cell_angle_beta 90.00
_cell_angle_gamma 120.00
loop_
_atom_site_label
_atom_site_type_symbol
_atom_site_fract_x
_atom_site_fract_y
_atom_site_fract_z
Hf1 Hf 0.0000 0.0000 0.1545
Hf2 Hf 0.6667 0.3333 0.3449
Cu1 Cu 0.6667 0.3333 0.0000
Si1 Si 0.0000 0.0000 0.5000
C1 C 0.3333 0.6667 0.2508
# Calculated total energy = -72.4 eV per cell
# Mass density = 11087 kg/m3


# 6
# Hf4Cu3W2C3 (PBE-GGA, relaxed)
data_Hf4Cu3W2C3
_chemical_formula_sum 'Hf16 Cu12 W8 C12'
_space_group_name_H-M_alt 'C 1 2/c 1'
_space_group_IT_number 15
_cell_length_a 9.5665
_cell_length_b 5.5211
_cell_length_c 13.6116
_cell_angle_alpha 90.00
_cell_angle_beta 104.36
_cell_angle_gamma 90.00
loop_
_space_group_symop_operation_xyz
'x,y,z'
'-x,-y,-z'
'-x,y,-z+1/2'
'x,-y,z+1/2'
'x+1/2,y+1/2,z'
'-x+1/2,-y+1/2,-z'
'-x+1/2,y+1/2,-z+1/2'
'x+1/2,-y+1/2,z+1/2'
loop_
_atom_site_label
_atom_site_type_symbol
_atom_site_fract_x
_atom_site_fract_y
_atom_site_fract_z
Hf1 Hf 0.1195 0.0760 0.1037
Hf2 Hf 0.2101 0.0882 0.3964
Cu1 Cu 0.0000 0.1526 0.7500
Cu2 Cu 0.1317 0.4519 0.2485
W1 W 0.0599 0.4130 0.9233
C1 C 0.0835 0.2490 0.4998
C2 C 0.2500 0.2500 0.0000
# Calculated total energy = -434.5 eV per cell
# Mass density = 12477 kg/m3


# 7
# Hf2Zr4Cu3C3 (PBE-GGA, relaxed)
data_Hf2Zr4Cu3C3
_chemical_formula_sum 'Hf8 Zr16 Cu12 C12'
_space_group_name_H-M_alt 'C 1 2/c 1'
_space_group_IT_number 15
_cell_length_a 10.0579
_cell_length_b 5.6740
_cell_length_c 14.0756
_cell_angle_alpha 90.00
_cell_angle_beta 103.46
_cell_angle_gamma 90.00
loop_
_space_group_symop_operation_xyz
'x,y,z'
'-x,-y,-z'
'-x,y,-z+1/2'
'x,-y,z+1/2'
'x+1/2,y+1/2,z'
'-x+1/2,-y+1/2,-z'
'-x+1/2,y+1/2,-z+1/2'
'x+1/2,-y+1/2,z+1/2'
loop_
_atom_site_label
_atom_site_type_symbol
_atom_site_fract_x
_atom_site_fract_y
_atom_site_fract_z
Hf1 Hf 0.0519 0.0759 0.4031
Zr1 Zr 0.1142 0.4146 0.5914
Zr2 Zr 0.2204 0.4149 0.9072
Cu1 Cu 0.0000 0.3440 0.7500
Cu2 Cu 0.1885 0.0758 0.7504
C1 C 0.0813 0.2427 0.0019
C2 C 0.2500 0.2500 0.5000
# Calculated total energy = -390.5 eV per cell
# Mass density = 8065 kg/m3


# 8
# Hf4Zr2Cu3C3 (PBE-GGA, relaxed)
data_Hf4Zr2Cu3C3
_chemical_formula_sum 'Hf16 Zr8 Cu12 C12'
_space_group_name_H-M_alt 'C 1 2/c 1'
_space_group_IT_number 15
_cell_length_a 9.7396
_cell_length_b 5.6214
_cell_length_c 14.2808
_cell_angle_alpha 90.00
_cell_angle_beta 103.73
_cell_angle_gamma 90.00
loop_
_space_group_symop_operation_xyz
'x,y,z'
'-x,-y,-z'
'-x,y,-z+1/2'
'x,-y,z+1/2'
'x+1/2,y+1/2,z'
'-x+1/2,-y+1/2,-z'
'-x+1/2,y+1/2,-z+1/2'
'x+1/2,-y+1/2,z+1/2'
loop_
_atom_site_label
_atom_site_type_symbol
_atom_site_fract_x
_atom_site_fract_y
_atom_site_fract_z
Hf1 Hf 0.1137 0.0870 0.0878
Hf2 Hf 0.2221 0.0819 0.4122
Zr1 Zr 0.0453 0.4189 0.8961
Cu1 Cu 0.0000 0.0745 0.2500
Cu2 Cu 0.2394 0.3449 0.2495
C1 C 0.0829 0.2515 0.4997
C2 C 0.2500 0.2500 0.0000
# Calculated total energy = -404.2 eV per cell
# Mass density = 9821 kg/m3


# 9
# CuHgC4S4N4 (PBE-GGA, relaxed)
data_CuHgC4S4N4
_chemical_formula_sum 'Cu4 Hg4 C16 S16 N16'
_space_group_name_H-M_alt 'P b c n'
_space_group_IT_number 60
_cell_length_a 9.0213
_cell_length_b 7.6770
_cell_length_c 15.2529
_cell_angle_alpha 90.00
_cell_angle_beta 90.00
_cell_angle_gamma 90.00
loop_
_space_group_symop_operation_xyz
'x,y,z'
'-x,-y,-z'
'-x+1/2,-y+1/2,z+1/2'
'x+1/2,y+1/2,-z+1/2'
'x+1/2,-y+1/2,-z'
'-x+1/2,y+1/2,z'
'-x,y,-z+1/2'
'x,-y,z+1/2'
loop_
_atom_site_label
_atom_site_type_symbol
_atom_site_fract_x
_atom_site_fract_y
_atom_site_fract_z
Cu1 Cu 0.0000 0.0000 0.0000
Hg1 Hg 0.0000 0.4489 0.2500
C1 C 0.1402 0.2010 0.6554
C2 C 0.1819 0.4034 0.4326
S1 S 0.0121 0.3442 0.4080
S2 S 0.2164 0.3075 0.7361
N1 N 0.0916 0.1163 0.5978
N2 N 0.1974 0.0543 0.9524
# Calculated total energy = -344.6 eV per cell
# Mass density = 3122 kg/m3
# E above lowest polymorph = 0 meV per atom


# 10
# CuHgC4S4N4 (PBE-GGA, relaxed)
data_CuHgC4S4N4
_chemical_formula_sum 'Cu4 Hg4 C16 S16 N16'
_space_group_name_H-M_alt 'C 1 2/c 1'
_space_group_IT_number 15
_cell_length_a 8.8441
_cell_length_b 7.7142
_cell_length_c 15.1235
_cell_angle_alpha 90.00
_cell_angle_beta 90.24
_cell_angle_gamma 90.00
loop_
_space_group_symop_operation_xyz
'x,y,z'
'-x,-y,-z'
'-x,y,-z+1/2'
'x,-y,z+1/2'
'x+1/2,y+1/2,z'
'-x+1/2,-y+1/2,-z'
'-x+1/2,y+1/2,-z+1/2'
'x+1/2,-y+1/2,z+1/2'
loop_
_atom_site_label
_atom_site_type_symbol
_atom_site_fract_x
_atom_site_fract_y
_atom_site_fract_z
Cu1 Cu 0.0000 0.0000 0.0000
Hg1 Hg 0.0000 0.4459 0.2500
C1 C 0.1391 0.2037 0.6614
C2 C 0.1756 0.4021 0.0647
S1 S 0.0027 0.3425 0.0897
S2 S 0.2148 0.3021 0.7465
N1 N 0.0920 0.1337 0.5976
N2 N 0.2017 0.0559 0.9560
# Calculated total energy = -344.2 eV per cell
# Mass density = 3196 kg/m3
# E above lowest polymorph = 8 meV per atom


# 11
# Ta4InCuC2 (PBE-GGA, relaxed)
data_Ta4InCuC2
_chemical_formula_sum 'Ta4 In1 Cu1 C2'
_space_group_name_H-M_alt 'P -6 m 2'
_space_group_IT_number 187
_space_group_name_Hall 'P -6 2'
_cell_length_a 3.1447
_cell_length_b 3.1447
_cell_length_c 13.8666
_cell_angle_alpha 90.00
_cell_angle_beta 90.00
_cell_angle_gamma 120.00
loop_
_atom_site_label
_atom_site_type_symbol
_atom_site_fract_x
_atom_site_fract_y
_atom_site_fract_z
Ta1 Ta 0.0000 0.0000 0.1490
Ta2 Ta 0.3333 0.6667 0.3245
In1 In 0.0000 0.0000 0.5000
Cu1 Cu 0.3333 0.6667 0.0000
C1 C 0.6667 0.3333 0.2358
# Calculated total energy = -74.9 eV per cell
# Mass density = 12951 kg/m3


# 12
# InCuW4C2 (PBE-GGA, relaxed)
data_InCuW4C2
_chemical_formula_sum 'In1 Cu1 W4 C2'
_space_group_name_H-M_alt 'P -6 m 2'
_space_group_IT_number 187
_space_group_name_Hall 'P -6 2'
_cell_length_a 3.0908
_cell_length_b 3.0908
_cell_length_c 13.5265
_cell_angle_alpha 90.00
_cell_angle_beta 90.00
_cell_angle_gamma 120.00
loop_
_atom_site_label
_atom_site_type_symbol
_atom_site_fract_x
_atom_site_fract_y
_atom_site_fract_z
In1 In 0.0000 0.0000 0.0000
Cu1 Cu 0.6667 0.3333 0.5000
W1 W 0.0000 0.0000 0.3482
W2 W 0.6667 0.3333 0.1779
C1 C 0.3333 0.6667 0.2628
# Calculated total energy = -74.6 eV per cell
# Mass density = 13915 kg/m3


Which formula does entry 11 have? Ta4InCuC2


Among the records above, which one has the highest calculated total energy? Hf4CuPbC2